Material: TlAgTe2
Method: DFT, PBE
State: optimized geometry

total magnetic moment = 0.0 μB/cell
ΔE_f (raw) = 0.1253 eV/atom
V = 30.074 A^3/atom

Lattice parameters (Å, degrees): 12.4733 12.4733 4.5439 90.00 90.00 160.10
Last column: nearest neighbours and their distance in Å.
Fractional coordinates of all 8 atoms:
1 Tl 0.0497 0.9503 0.7500  2 Te 3.03, 6 Ag 3.13-3.18, 2 Tl 3.33
2 Tl 0.9503 0.0497 0.2500  2 Te 3.03, 6 Ag 3.13-3.18, 2 Tl 3.33
3 Ag 0.4546 0.5454 0.7500  2 Te 3.01, 6 Tl 3.13-3.18, 2 Ag 3.19
4 Ag 0.5454 0.4546 0.2500  2 Te 3.01, 6 Tl 3.13-3.18, 2 Ag 3.19
5 Te 0.1311 0.8689 0.2500  2 Ag 3.01, 2 Tl 3.03
6 Te 0.2334 0.7666 0.7500  6 Te 3.24-3.39
7 Te 0.7666 0.2334 0.2500  6 Te 3.24-3.39
8 Te 0.8689 0.1311 0.7500  2 Ag 3.01, 2 Tl 3.03